The following is a PBE calculation of a relaxed structure of Pr3Ni5C2, from the Alexandria database.

Geometry as POSCAR:
```
Pr3Ni5C2
1.0
-3.3135 7.3288 3.5722
3.3135 -7.3288 3.5722
3.3135 7.3288 -3.5722
Pr Ni C
6 10 4
direct
0.1710 0.6515 0.8225
0.2500 0.2500 0.0000
0.3290 0.1515 0.4804
0.6710 0.8485 0.5196
0.7500 0.7500 0.0000
0.8290 0.3485 0.1775
0.0658 0.2500 0.8158
0.0805 0.2848 0.3653
0.2500 0.7500 0.5000
0.4195 0.7848 0.2043
0.4342 0.2500 0.1842
0.5658 0.7500 0.8158
0.5805 0.2152 0.7957
0.7500 0.2500 0.5000
0.9195 0.7152 0.6347
0.9342 0.7500 0.1842
0.1524 0.0488 0.2012
0.3476 0.5488 0.8964
0.6524 0.4512 0.1036
0.8476 0.9512 0.7988
```

Computed properties:
For the formation energy, the calculation gives -0.041 eV/atom. Its space group is Ibam, No. 72.

=====

The following is a PBE calculation of a relaxed structure of Rb2ZrIrF6, from the Alexandria database.

Geometry as POSCAR:
```
Rb2ZrIrF6
1.0
-3.6898 3.6898 4.1146
3.6898 -3.6898 4.1146
3.6898 3.6898 -4.1146
Rb Zr Ir F
2 1 1 6
direct
0.2500 0.7500 0.5000
0.7500 0.2500 0.5000
0.0000 0.0000 0.0000
0.5000 0.5000 0.0000
0.1945 0.1945 0.3891
0.1945 0.8055 0.0000
0.2500 0.2500 0.0000
0.7500 0.7500 0.0000
0.8055 0.1945 0.0000
0.8055 0.8055 0.6109
```

Computed properties:
The final energy comes out at -5.411 eV per atom. Its space group is I4/mmm, No. 139.

=====

The following is a PBE calculation of a relaxed structure of LaSbBr2, from the Alexandria database.

Geometry as POSCAR:
```
LaSbBr2
1.0
3.4162 -4.5669 0.0000
3.4162 4.5669 0.0000
0.0000 0.0000 3.6557
La Sb Br
1 1 2
direct
0.0000 0.0000 0.0000
0.5000 0.5000 0.0000
0.0000 0.5000 0.5000
0.5000 0.0000 0.5000
```

Computed properties:
Its space group is Cmmm, No. 65. Its distance to the lowest polymorph of the same formula is 0.468 eV per atom.

=====

The following is a PBE calculation of a relaxed structure of AlCd2In, from the Alexandria database.

Geometry as POSCAR:
```
AlCd2In
1.0
0.0000 3.5890 3.5890
3.5890 0.0000 3.5890
3.5890 3.5890 0.0000
Al Cd In
1 2 1
direct
0.0000 0.0000 0.0000
0.5000 0.5000 0.5000
0.7500 0.7500 0.7500
0.2500 0.2500 0.2500
```

Computed properties:
For the formation energy, the calculation gives 0.190 eV/atom. Its space group is F-43m, No. 216. Its distance to the lowest polymorph of the same formula is 0.112 eV per atom.

=====

Copy entry 3 word for word.
The following is a PBE calculation of a relaxed structure of LaSbBr2, from the Alexandria database.

Geometry as POSCAR:
```
LaSbBr2
1.0
3.4162 -4.5669 0.0000
3.4162 4.5669 0.0000
0.0000 0.0000 3.6557
La Sb Br
1 1 2
direct
0.0000 0.0000 0.0000
0.5000 0.5000 0.0000
0.0000 0.5000 0.5000
0.5000 0.0000 0.5000
```

Computed properties:
Its space group is Cmmm, No. 65. Its distance to the lowest polymorph of the same formula is 0.468 eV per atom.